Here is a relaxed structure of In2PIr from the Alexandria database. Energies are from PBE.

Calculated values
- Density of states at the Fermi level: 3.443 states/eV/f.u.
- Formation enthalpy at 0 K: 110 kJ/mol of formula units
- E: -18.6 eV per cell

Unit cell a=7.837 b=7.837 c=7.837 alpha=25.46 beta=25.46 gamma=25.46
Element x y z (fractional)
In1 0.249 0.249 0.249
In2 0.751 0.751 0.751
P1 0.500 0.500 0.500
Ir1 0.000 0.000 0.000